BeFePt4 (GGA-PBE, relaxed); crystal system = cubic
1.0
0.000 3.674 3.674
3.674 0.000 3.674
3.674 3.674 0.000
Be Fe Pt
1 1 4
Direct
0.000 0.000 0.000
0.750 0.750 0.750
0.375 0.375 0.375
0.375 0.375 0.875
0.375 0.875 0.375
0.875 0.375 0.375

BeFePt2 (GGA-PBE, relaxed); crystal system = orthorhombic
1.0
-1.942 1.982 3.434
1.942 -1.982 3.434
1.942 1.982 -3.434
Be Fe Pt
1 1 2
Direct
0.000 0.000 0.000
0.500 0.500 0.000
0.246 0.746 0.500
0.754 0.254 0.500

Be5FePt4 (GGA-PBE, relaxed); crystal system = tetragonal
1.0
2.807 0.000 0.000
0.000 2.807 0.000
0.000 0.000 13.989
Be Fe Pt
5 1 4
Direct
0.000 0.000 0.000
0.000 0.000 0.209
0.000 0.000 0.417
0.000 0.000 0.583
0.000 0.000 0.791
0.500 0.500 0.500
0.500 0.500 0.103
0.500 0.500 0.308
0.500 0.500 0.692
0.500 0.500 0.897

BeFePt2 (GGA-PBE, relaxed); crystal system = monoclinic
1.0
2.792 -3.392 0.000
2.792 3.392 0.000
-0.007 0.000 2.774
Be Fe Pt
1 1 2
Direct
0.000 0.000 0.000
0.500 0.500 0.000
0.000 0.500 0.500
0.500 0.000 0.500

Values of VASP energy, in order: -0.211 -0.237 -0.212 -0.237, all in Ha/atom.
Values of ΔH_f (0 K), in order: 0.319 -0.381 -0.637 -0.371, all in eV per atom.